[1]
Computed, not measured: a relaxed Sc2TePt crystal at the PBE-GGA level of DFT.

abc: 3.5263 3.5536 7.5509
angles: 62.01 90.00 90.00
With the nearest neighbours (Å) after each atom.
Fractional coordinates of all 4 atoms:
Sc (0.0000, 0.0213, 0.9784)  4 Pt 2.93, 1 Sc 3.05, 4 Te 3.09
Sc (0.0000, 0.4787, 0.5216)  4 Pt 2.93, 1 Sc 3.05, 4 Te 3.09
Te (0.5000, 0.2500, 0.2500)  8 Sc 3.09, 2 Pt 3.33
Pt (0.5000, 0.7500, 0.7500)  8 Sc 2.93

ΔE_f (raw): -0.95 eV per atom



[2]
Computed, not measured: a relaxed ScTePt2 crystal at the PBE-GGA level of DFT.

abc: 4.1487 4.1470 4.2853
angles: 90.00 90.00 90.00
With the nearest neighbours (Å) after each atom.
Fractional coordinates of all 4 atoms:
Te (0.0000, 0.5000, 0.5000)  4 Sc 2.93, 8 Pt 2.98
Sc (0.5000, 0.0000, 0.5000)  4 Te 2.93, 8 Pt 2.98
Pt (0.0000, 0.0000, 0.0000)  4 Pt 2.93, 4 Te 2.98, 4 Sc 2.98
Pt (0.5000, 0.5000, 0.0000)  4 Pt 2.93, 4 Sc 2.98, 4 Te 2.98

ΔE_f (raw): -0.68 eV per atom



In the order shown, the computed size of the total moment values come out to 0.1 0.0 μB per formula unit.
In the order shown, the computed V values come out to 20.89 18.43 Å³/atom.